Record 1
# LaZrBr

An optimized crystal structure of LaZrBr (PBEsol, Alexandria via LeMat-Bulk).

Summary:
* VASP energy: -0.4314 Ry/atom
* crystal system: tetragonal
* formation energy (no corrections): -1.30 eV per formula unit
* symmetry: No. 107
* energy relative to the lowest polymorph listed for this composition: 104 meV per atom

a = 7.004 Å, b = 7.004 Å, c = 7.004 Å
α = 152.13°, β = 152.13°, γ = 39.82°
Sites, in units of the cell vectors:
La 0.000 0.000 0.000
Zr 0.313 0.313 0.000
Br 0.686 0.686 0.000


Record 2
# LiBr

An optimized crystal structure of LiBr (PBEsol, Alexandria via LeMat-Bulk).

Summary:
* VASP energy: -0.2495 Ry/atom
* crystal system: orthorhombic
* formation energy (no corrections): -2.95 eV per formula unit
* symmetry: No. 57

a = 10.241 Å, b = 6.915 Å, c = 7.200 Å
α = 90.00°, β = 90.00°, γ = 90.00°
Sites, in units of the cell vectors:
Li 0.018 0.014 0.250
Li 0.018 0.486 0.750
Li 0.278 0.652 0.250
Li 0.278 0.848 0.750
Li 0.393 0.250 0.000
Li 0.393 0.250 0.500
Li 0.607 0.750 0.000
Li 0.607 0.750 0.500
Li 0.722 0.152 0.250
Li 0.722 0.348 0.750
Li 0.982 0.514 0.250
Li 0.982 0.986 0.750
Br 0.109 0.750 0.000
Br 0.109 0.750 0.500
Br 0.206 0.197 0.750
Br 0.206 0.303 0.250
Br 0.445 0.586 0.750
Br 0.445 0.914 0.250
Br 0.555 0.086 0.750
Br 0.555 0.414 0.250
Br 0.794 0.697 0.750
Br 0.794 0.803 0.250
Br 0.891 0.250 0.000
Br 0.891 0.250 0.500